! PBE+U K2MnIn2O6, relaxed; values from VASP
! symmetry = No. 12
! final energy = -5.6180 eV per atom
&SYSTEM
  ibrav = 0, nat = 11, ntyp = 4
/
ATOMIC_SPECIES
K 39.10 K.upf
Mn 54.94 Mn.upf
In 114.82 In.upf
O 16.00 O.upf
CELL_PARAMETERS angstrom
-2.4193 1.5384 -4.7234
-3.0080 -0.2838 4.6262
3.1677 5.5938 1.2897
ATOMIC_POSITIONS angstrom
K -2.5178 1.2335 -3.1588
K -2.9095 0.0211 3.0616
Mn 1.5839 2.7969 0.6448
In -1.2271 3.1231 2.1409
In -1.0325 3.7253 -0.9485
O -1.9898 4.7038 0.7915
O 0.9162 3.7428 2.2713
O -0.2697 2.1446 0.4010
O 1.0956 4.2980 -0.5775
O -3.1758 3.1056 -1.0788
O -3.3551 2.5504 1.7700